HfTeMo3 | GGA-PBE | relaxed

Results
- Formation energy from raw total energies: 1.533 eV per atom
- Total magnetic moment: 1.48 μB/f.u.
- E above lowest polymorph: 0 meV per atom

Cell: 4.844 4.844 4.844 Å, 90.00 90.00 90.00°
Sites, in units of the cell vectors:
1 Hf 0.000 0.000 0.000
2 Te 0.500 0.500 0.500
3 Mo 0.000 0.500 0.500
4 Mo 0.500 0.000 0.500
5 Mo 0.500 0.500 0.000